Ti2Be4Ge | PBE-GGA | optimized geometry

**Calculated volume**: 197.1 Å³/cell
**E**: -60.3 eV/cell
**Crystal system**: tetragonal
**Calculated formation energy**: 497 kJ/mol of formula units

CIF file:
```
data_Ti2Be4Ge
_chemical_formula_sum 'Ti4 Be8 Ge2'
_cell_length_a 3.962
_cell_length_b 3.962
_cell_length_c 12.556
_cell_angle_alpha 90.00
_cell_angle_beta 90.00
_cell_angle_gamma 90.00
_symmetry_space_group_name_H-M 'I 4/m m m'
_symmetry_Int_Tables_number 139
_symmetry_space_group_name_Hall '-I 4 2'
loop_
_atom_site_label
_atom_site_fract_x
_atom_site_fract_y
_atom_site_fract_z
_atom_site_occupancy
Ti1 0.000 0.000 0.132 1
Be1 0.000 0.000 0.324 1
Be2 0.000 0.500 0.000 1
Ge1 0.000 0.000 0.500 1
```